VASP calculation (GGA-PBEsol) on an optimized crystal structure of U2TeO2.

Cell lengths 6.648, 6.648, 6.648 Å; angles 146.13, 146.13, 48.65 degrees
Fractional coordinates of all 5 atoms:
1 U 0.149 0.149 0.000
2 U 0.851 0.851 0.000
3 Te 0.500 0.500 0.000
4 O 0.250 0.750 0.500
5 O 0.750 0.250 0.500

Values from the calculation:
SG = I4/mmm
formation energy (no corrections) = -10.630 eV/f.u.
density of states at the Fermi level = 8.469 states/eV/f.u.

VASP calculation (GGA-PBEsol) on an optimized crystal structure of V2Te2O9.

Cell lengths 7.155, 9.420, 9.927 Å; angles 90.00, 95.11, 90.00 degrees
Fractional coordinates of all 52 atoms:
1 V 0.004 0.247 0.465
2 V 0.004 0.253 0.965
3 V 0.294 0.033 0.263
4 V 0.294 0.467 0.763
5 V 0.706 0.533 0.237
6 V 0.706 0.967 0.737
7 V 0.996 0.747 0.035
8 V 0.996 0.753 0.535
9 Te 0.145 0.516 0.281
10 Te 0.145 0.984 0.781
11 Te 0.452 0.723 0.550
12 Te 0.452 0.777 0.050
13 Te 0.548 0.223 0.950
14 Te 0.548 0.277 0.450
15 Te 0.855 0.016 0.219
16 Te 0.855 0.484 0.719
17 O 0.062 0.135 0.311
18 O 0.062 0.365 0.811
19 O 0.074 0.132 0.582
20 O 0.074 0.368 0.082
21 O 0.090 0.564 0.671
22 O 0.090 0.936 0.171
23 O 0.176 0.655 0.428
24 O 0.176 0.845 0.928
25 O 0.199 0.147 0.957
26 O 0.199 0.353 0.457
27 O 0.242 0.691 0.126
28 O 0.242 0.809 0.626
29 O 0.357 0.553 0.899
30 O 0.357 0.947 0.399
31 O 0.405 0.201 0.283
32 O 0.405 0.299 0.783
33 O 0.446 0.541 0.639
34 O 0.446 0.959 0.139
35 O 0.554 0.041 0.861
36 O 0.554 0.459 0.361
37 O 0.595 0.701 0.217
38 O 0.595 0.799 0.717
39 O 0.643 0.053 0.601
40 O 0.643 0.447 0.101
41 O 0.758 0.191 0.374
42 O 0.758 0.309 0.874
43 O 0.801 0.647 0.543
44 O 0.801 0.853 0.043
45 O 0.824 0.155 0.072
46 O 0.824 0.345 0.572
47 O 0.910 0.064 0.829
48 O 0.910 0.436 0.329
49 O 0.926 0.632 0.918
50 O 0.926 0.868 0.418
51 O 0.938 0.635 0.189
52 O 0.938 0.865 0.689

Values from the calculation:
SG = P2_1/c
formation energy (no corrections) = -22.309 eV/f.u.
density of states at the Fermi level = 0.000 states/eV/f.u.
excess energy over the best structure of this formula in the dataset = 0.000 eV per atom

VASP calculation (GGA-PBEsol) on an optimized crystal structure of V2Te2O9.

Cell lengths 14.420, 4.878, 14.385 Å; angles 80.66, 19.50, 79.84 degrees
Fractional coordinates of all 26 atoms:
1 V 0.289 0.711 0.391
2 V 0.641 0.859 0.539
3 V 0.711 0.289 0.609
4 V 0.859 0.641 0.961
5 Te 0.144 0.425 0.952
6 Te 0.298 0.772 0.106
7 Te 0.425 0.144 0.478
8 Te 0.772 0.298 0.825
9 O 0.116 0.470 0.491
10 O 0.191 0.394 0.614
11 O 0.328 0.759 0.780
12 O 0.341 0.956 0.254
13 O 0.365 0.365 0.635
14 O 0.394 0.191 0.802
15 O 0.448 0.636 0.856
16 O 0.470 0.116 0.922
17 O 0.530 0.825 0.256
18 O 0.615 0.615 0.885
19 O 0.636 0.448 0.059
20 O 0.759 0.328 0.134
21 O 0.800 0.996 0.294
22 O 0.825 0.530 0.389
23 O 0.861 0.994 0.425
24 O 0.956 0.341 0.450
25 O 0.994 0.861 0.720
26 O 0.996 0.800 0.909

Values from the calculation:
SG = Fdd2
formation energy (no corrections) = -22.056 eV/f.u.
density of states at the Fermi level = 0.000 states/eV/f.u.
excess energy over the best structure of this formula in the dataset = 0.020 eV per atom

VASP calculation (GGA-PBEsol) on an optimized crystal structure of VTeO4.

Cell lengths 4.988, 4.876, 12.600 Å; angles 90.00, 106.64, 90.00 degrees
Fractional coordinates of all 24 atoms:
1 V 0.107 0.228 0.067
2 V 0.107 0.272 0.567
3 V 0.893 0.728 0.433
4 V 0.893 0.772 0.933
5 Te 0.326 0.218 0.333
6 Te 0.326 0.282 0.833
7 Te 0.674 0.718 0.167
8 Te 0.674 0.782 0.667
9 O 0.058 0.079 0.201
10 O 0.058 0.421 0.701
11 O 0.138 0.053 0.433
12 O 0.138 0.447 0.933
13 O 0.244 0.556 0.518
14 O 0.244 0.944 0.018
15 O 0.434 0.105 0.665
16 O 0.434 0.395 0.165
17 O 0.566 0.605 0.835
18 O 0.566 0.895 0.335
19 O 0.756 0.056 0.982
20 O 0.756 0.444 0.482
21 O 0.862 0.553 0.067
22 O 0.862 0.947 0.567
23 O 0.942 0.579 0.299
24 O 0.942 0.921 0.799

Values from the calculation:
SG = P2_1/c
formation energy (no corrections) = -10.252 eV/f.u.
density of states at the Fermi level = 1.326 states/eV/f.u.

VASP calculation (GGA-PBEsol) on an optimized crystal structure of YVTe2O8.

Cell lengths 5.421, 5.421, 21.050 Å; angles 90.00, 90.00, 96.12 degrees
Fractional coordinates of all 48 atoms:
1 Y 0.250 0.250 0.000
2 Y 0.250 0.250 0.500
3 Y 0.750 0.750 0.000
4 Y 0.750 0.750 0.500
5 V 0.242 0.258 0.250
6 V 0.258 0.242 0.750
7 V 0.742 0.758 0.250
8 V 0.758 0.742 0.750
9 Te 0.195 0.805 0.884
10 Te 0.197 0.803 0.631
11 Te 0.303 0.697 0.131
12 Te 0.305 0.695 0.384
13 Te 0.695 0.305 0.616
14 Te 0.697 0.303 0.869
15 Te 0.803 0.197 0.369
16 Te 0.805 0.195 0.116
17 O 0.010 0.990 0.069
18 O 0.038 0.563 0.438
19 O 0.044 0.956 0.767
20 O 0.056 0.444 0.750
21 O 0.063 0.538 0.938
22 O 0.073 0.927 0.556
23 O 0.144 0.255 0.337
24 O 0.245 0.356 0.163
25 O 0.255 0.144 0.663
26 O 0.356 0.245 0.837
27 O 0.427 0.573 0.056
28 O 0.437 0.962 0.438
29 O 0.444 0.056 0.250
30 O 0.456 0.544 0.267
31 O 0.462 0.937 0.938
32 O 0.490 0.510 0.569
33 O 0.510 0.490 0.431
34 O 0.538 0.063 0.062
35 O 0.544 0.456 0.733
36 O 0.556 0.944 0.750
37 O 0.563 0.038 0.562
38 O 0.573 0.427 0.944
39 O 0.644 0.755 0.163
40 O 0.745 0.856 0.337
41 O 0.755 0.644 0.837
42 O 0.856 0.745 0.663
43 O 0.927 0.073 0.444
44 O 0.937 0.462 0.062
45 O 0.944 0.556 0.250
46 O 0.956 0.044 0.233
47 O 0.962 0.437 0.562
48 O 0.990 0.010 0.931

Values from the calculation:
SG = Cmce
formation energy (no corrections) = -24.072 eV/f.u.

VASP calculation (GGA-PBEsol) on an optimized crystal structure of V5Zn4Te3O18.

Cell lengths 8.574, 8.574, 10.527 Å; angles 93.90, 93.90, 63.64 degrees
Fractional coordinates of all 60 atoms:
1 V 0.003 0.300 0.767
2 V 0.132 0.538 0.951
3 V 0.169 0.831 0.750
4 V 0.300 0.003 0.267
5 V 0.462 0.868 0.549
6 V 0.538 0.132 0.451
7 V 0.700 0.997 0.733
8 V 0.831 0.169 0.250
9 V 0.868 0.462 0.049
10 V 0.997 0.700 0.233
11 Zn 0.064 0.350 0.428
12 Zn 0.316 0.617 0.466
13 Zn 0.350 0.064 0.928
14 Zn 0.383 0.684 0.034
15 Zn 0.617 0.316 0.966
16 Zn 0.650 0.936 0.072
17 Zn 0.684 0.383 0.534
18 Zn 0.936 0.650 0.572
19 Te 0.000 0.000 0.000
20 Te 0.000 0.000 0.500
21 Te 0.343 0.349 0.698
22 Te 0.349 0.343 0.198
23 Te 0.651 0.657 0.802
24 Te 0.657 0.651 0.302
25 O 0.061 0.749 0.067
26 O 0.073 0.082 0.696
27 O 0.080 0.397 0.618
28 O 0.082 0.073 0.196
29 O 0.100 0.443 0.121
30 O 0.110 0.742 0.576
31 O 0.203 0.628 0.825
32 O 0.222 0.290 0.850
33 O 0.231 0.576 0.299
34 O 0.251 0.939 0.433
35 O 0.258 0.890 0.924
36 O 0.290 0.222 0.350
37 O 0.372 0.797 0.675
38 O 0.373 0.454 0.031
39 O 0.397 0.080 0.118
40 O 0.424 0.769 0.201
41 O 0.443 0.100 0.621
42 O 0.454 0.373 0.531
43 O 0.546 0.627 0.469
44 O 0.557 0.900 0.379
45 O 0.576 0.231 0.799
46 O 0.603 0.920 0.882
47 O 0.627 0.546 0.969
48 O 0.628 0.203 0.325
49 O 0.710 0.778 0.650
50 O 0.742 0.110 0.076
51 O 0.749 0.061 0.567
52 O 0.769 0.424 0.701
53 O 0.778 0.710 0.150
54 O 0.797 0.372 0.175
55 O 0.890 0.258 0.424
56 O 0.900 0.557 0.879
57 O 0.918 0.927 0.804
58 O 0.920 0.603 0.382
59 O 0.927 0.918 0.304
60 O 0.939 0.251 0.933

Values from the calculation:
SG = C2/c
formation energy (no corrections) = -48.212 eV/f.u.
density of states at the Fermi level = 9.880 states/eV/f.u.

VASP calculation (GGA-PBEsol) on an optimized crystal structure of TeWO6.

Cell lengths 5.120, 5.279, 8.965 Å; angles 90.00, 124.80, 90.00 degrees
Fractional coordinates of all 16 atoms:
1 Te 0.000 0.000 0.000
2 Te 0.000 0.500 0.500
3 W 0.500 0.000 0.500
4 W 0.500 0.500 0.000
5 O 0.151 0.201 0.452
6 O 0.151 0.299 0.952
7 O 0.252 0.704 0.450
8 O 0.252 0.796 0.950
9 O 0.349 0.016 0.251
10 O 0.349 0.484 0.751
11 O 0.651 0.516 0.249
12 O 0.651 0.984 0.749
13 O 0.748 0.204 0.050
14 O 0.748 0.296 0.550
15 O 0.849 0.701 0.048
16 O 0.849 0.799 0.548

Values from the calculation:
SG = P2_1/c
formation energy (no corrections) = -11.761 eV/f.u.
density of states at the Fermi level = 0.000 states/eV/f.u.
excess energy over the best structure of this formula in the dataset = 0.002 eV per atom

VASP calculation (GGA-PBEsol) on an optimized crystal structure of TeW3O12.

Cell lengths 5.189, 5.331, 7.420 Å; angles 91.90, 90.00, 90.01 degrees
Fractional coordinates of all 16 atoms:
1 Te 0.000 0.000 0.000
2 W 0.003 0.964 0.500
3 W 0.495 0.500 0.019
4 W 0.499 0.463 0.519
5 O 0.090 0.998 0.252
6 O 0.206 0.281 0.544
7 O 0.211 0.708 0.956
8 O 0.290 0.212 0.955
9 O 0.291 0.781 0.543
10 O 0.415 0.498 0.256
11 O 0.583 0.494 0.756
12 O 0.710 0.201 0.461
13 O 0.710 0.787 0.049
14 O 0.785 0.702 0.460
15 O 0.787 0.288 0.049
16 O 0.906 0.996 0.750

Values from the calculation:
SG = P1
formation energy (no corrections) = -28.727 eV/f.u.
density of states at the Fermi level = 0.000 states/eV/f.u.

VASP calculation (GGA-PBEsol) on an optimized crystal structure of Te3WO12.

Cell lengths 5.011, 5.251, 7.256 Å; angles 86.29, 89.93, 89.97 degrees
Fractional coordinates of all 16 atoms:
1 Te 0.000 0.000 0.000
2 Te 0.000 0.000 0.500
3 Te 0.500 0.500 0.000
4 W 0.500 0.500 0.500
5 O 0.136 0.999 0.750
6 O 0.183 0.684 0.069
7 O 0.191 0.311 0.443
8 O 0.309 0.809 0.441
9 O 0.317 0.183 0.069
10 O 0.382 0.498 0.750
11 O 0.618 0.502 0.250
12 O 0.683 0.817 0.931
13 O 0.691 0.191 0.559
14 O 0.809 0.689 0.557
15 O 0.817 0.316 0.931
16 O 0.864 0.001 0.250

Values from the calculation:
SG = P-1
formation energy (no corrections) = -18.640 eV/f.u.
density of states at the Fermi level = 0.000 states/eV/f.u.
excess energy over the best structure of this formula in the dataset = 0.000 eV per atom

VASP calculation (GGA-PBEsol) on an optimized crystal structure of TeW2O8.

Cell lengths 5.205, 5.561, 10.633 Å; angles 90.00, 110.19, 90.00 degrees
Fractional coordinates of all 22 atoms:
1 Te 0.000 0.107 0.250
2 Te 0.000 0.893 0.750
3 W 0.252 0.340 0.010
4 W 0.252 0.660 0.510
5 W 0.748 0.340 0.490
6 W 0.748 0.660 0.990
7 O 0.126 0.443 0.612
8 O 0.126 0.557 0.112
9 O 0.216 0.091 0.115
10 O 0.216 0.909 0.615
11 O 0.233 0.136 0.863
12 O 0.233 0.864 0.363
13 O 0.369 0.368 0.413
14 O 0.369 0.632 0.913
15 O 0.631 0.368 0.087
16 O 0.631 0.632 0.587
17 O 0.767 0.136 0.637
18 O 0.767 0.864 0.137
19 O 0.784 0.091 0.385
20 O 0.784 0.909 0.885
21 O 0.874 0.443 0.888
22 O 0.874 0.557 0.388

Values from the calculation:
SG = P2/c
formation energy (no corrections) = -19.315 eV/f.u.
density of states at the Fermi level = 0.000 states/eV/f.u.

VASP calculation (GGA-PBEsol) on an optimized crystal structure of Te3WO12.

Cell lengths 4.921, 8.424, 5.197 Å; angles 90.00, 93.06, 90.00 degrees
Fractional coordinates of all 16 atoms:
1 Te 0.000 0.000 0.000
2 Te 0.000 0.181 0.500
3 Te 0.500 0.688 0.000
4 W 0.500 0.501 0.500
5 O 0.209 0.167 0.826
6 O 0.217 0.020 0.324
7 O 0.243 0.345 0.397
8 O 0.246 0.848 0.862
9 O 0.290 0.528 0.803
10 O 0.297 0.664 0.305
11 O 0.703 0.664 0.695
12 O 0.710 0.528 0.197
13 O 0.754 0.848 0.138
14 O 0.757 0.345 0.603
15 O 0.783 0.020 0.676
16 O 0.791 0.167 0.174

Values from the calculation:
SG = P2
formation energy (no corrections) = -17.962 eV/f.u.
density of states at the Fermi level = 0.000 states/eV/f.u.
excess energy over the best structure of this formula in the dataset = 0.042 eV per atom

VASP calculation (GGA-PBEsol) on an optimized crystal structure of TeWO2.

Cell lengths 6.024, 6.024, 6.024 Å; angles 60.00, 60.00, 60.00 degrees
Fractional coordinates of all 8 atoms:
1 Te 0.125 0.125 0.125
2 Te 0.875 0.875 0.875
3 W 0.375 0.375 0.375
4 W 0.625 0.625 0.625
5 O 0.000 0.500 0.500
6 O 0.500 0.000 0.500
7 O 0.500 0.500 0.000
8 O 0.500 0.500 0.500

Values from the calculation:
SG = Fd-3m
formation energy (no corrections) = -3.405 eV/f.u.
density of states at the Fermi level = 4.330 states/eV/f.u.

VASP energy (eV per atom)
-9.794; -7.375; -7.355; -7.402; -7.465; -6.926; -7.574; -8.542; -6.626; -8.405; -6.584; -7.809